SiP | GGA-PBE | optimized geometry

Lattice parameters (Å, degrees): 6.5070 6.5070 6.5070 90.00 90.00 90.00
Space group Pm-3n (No. 223)
Asymmetric unit:
1 Si 0.0000 0.2500 0.5000 x6
2 P 0.0000 0.5000 0.2500 x6

E_form (uncorrected) (meV/atom): 206
Crystal system: cubic

***

SbPd4F2 | GGA-PBE | optimized geometry

Lattice parameters (Å, degrees): 5.0200 5.0200 11.5714 90.00 90.00 90.00
Space group I4/mmm (No. 139)
Asymmetric unit:
1 Sb 0.0000 0.0000 0.0000 x2
2 Pd 0.0000 0.0000 0.2117 x4
3 Pd 0.0000 0.5000 0.0000 x4
4 F 0.0000 0.0000 0.3916 x4

E_form (uncorrected) (meV/atom): -37
Crystal system: tetragonal

***

MgHg2BRh | GGA-PBE | optimized geometry

Lattice parameters (Å, degrees): 4.4342 4.4342 4.5075 90.00 90.00 90.00
Space group P4/mmm (No. 123)
Asymmetric unit:
1 Mg 0.0000 0.0000 0.0000 x1
2 Hg 0.0000 0.5000 0.5000 x2
3 B 0.0000 0.0000 0.5000 x1
4 Rh 0.5000 0.5000 0.0000 x1

Crystal system: tetragonal
Total DFT energy (no corrections) (eV per atom): -2.639

***

Ce6Ge2SbSe3 | GGA-PBE | optimized geometry

Lattice parameters (Å, degrees): 18.5831 4.2849 8.5353 90.00 102.64 90.00
Space group C2/m (No. 12)
Asymmetric unit:
1 Ce 0.0022 0.0000 0.2623 x4
2 Ce 0.1679 0.5000 0.5802 x4
3 Ce 0.1712 0.5000 0.0898 x4
4 Ge 0.1672 0.0000 0.3332 x4
5 Sb 0.0000 0.5000 0.0000 x2
6 Se 0.0000 0.5000 0.5000 x2
7 Se 0.1645 0.0000 0.8321 x4

E_form (uncorrected) (meV/atom): -1327
Crystal system: monoclinic

***

Na2LaGePt | GGA-PBE | optimized geometry

Lattice parameters (Å, degrees): 5.2174 5.2174 4.7581 90.00 90.00 90.00
Space group P4/mmm (No. 123)
Asymmetric unit:
1 Na 0.0000 0.5000 0.0000 x2
2 La 0.0000 0.0000 0.5000 x1
3 Ge 0.5000 0.5000 0.0000 x1
4 Pt 0.5000 0.5000 0.5000 x1

Crystal system: tetragonal
Total DFT energy (no corrections) (eV per atom): -3.641

***

TaTl2Mo | GGA-PBE | optimized geometry

Lattice parameters (Å, degrees): 5.9443 9.1036 2.9639 90.00 90.00 90.00
Space group Cmmm (No. 65)
Asymmetric unit:
1 Ta 0.0000 0.0000 0.0000 x2
2 Tl 0.2500 0.2500 0.5000 x4
3 Mo 0.0000 0.5000 0.0000 x2

Crystal system: orthorhombic
Energy relative to the lowest polymorph listed for this composition (kJ/mol of formula units): 159

***

What is the formula in the third record?
MgHg2BRh